No. 1
VASP calculation (PBE-GGA) on a relaxed structure of BaScN.

Computed properties:
Calculated total energy ... -6.459 eV per atom
Space group ... P4/nmm
Crystal system ... tetragonal
Uncorrected formation energy ... -0.932 eV per atom

The structure in POSCAR format:
```
BaScN
1.0
4.2113 0.0000 0.0000
0.0000 4.2113 0.0000
0.0000 0.0000 10.2889
Ba Sc N
2 2 2
Cartesian
1.0528 1.0528 1.8390 Ba
3.1585 3.1585 8.4500 Ba
1.0528 3.1585 5.1445 Sc
3.1585 1.0528 5.1445 Sc
1.0528 1.0528 4.5836 N
3.1585 3.1585 5.7053 N
```


No. 2
VASP calculation (PBE-GGA) on a relaxed structure of MgHPt2.

Computed properties:
Calculated total energy ... -4.194 eV per atom
Space group ... Fm-3m
Crystal system ... cubic

The structure in POSCAR format:
```
MgHPt2
1.0
0.0000 2.9809 2.9809
2.9809 0.0000 2.9809
2.9809 2.9809 0.0000
Mg H Pt
1 1 2
Cartesian
0.0000 0.0000 0.0000 Mg
2.9809 2.9809 2.9809 H
1.4904 1.4904 1.4904 Pt
4.4713 4.4713 4.4713 Pt
```


No. 3
VASP calculation (PBE-GGA) on a relaxed structure of PmYGaRh.

Computed properties:
Calculated total energy ... -6.094 eV per atom
Space group ... Amm2
Crystal system ... orthorhombic
Formation enthalpy at 0 K ... -0.70 eV per atom

The structure in POSCAR format:
```
PmYGaRh
1.0
4.2506 0.0000 0.0000
0.0000 2.0913 5.2964
0.0000 -2.0913 5.2964
Pm Y Ga Rh
1 1 1 1
Cartesian
0.0000 0.0000 0.0000 Pm
2.1253 0.0000 3.0023 Y
2.1253 0.0000 6.1299 Ga
0.0000 0.0000 7.6789 Rh
```


No. 4
VASP calculation (PBE-GGA) on a relaxed structure of Hf2Ga3Os.

Computed properties:
Calculated total energy ... -7.117 eV per atom
Space group ... R-3m
Crystal system ... trigonal
Formation enthalpy at 0 K ... -0.41 eV per atom

The structure in POSCAR format:
```
Hf2Ga3Os
1.0
2.6013 1.5019 4.2793
-2.6013 1.5019 4.2793
0.0000 -3.0037 4.2793
Hf Ga Os
2 3 1
Cartesian
0.0000 0.0000 1.6720 Hf
0.0000 0.0000 11.1659 Hf
-1.3007 -0.7509 4.2793 Ga
-1.3007 0.7509 8.5586 Ga
0.0000 1.5019 4.2793 Ga
0.0000 0.0000 6.4190 Os
```


calculated total energy of number 4 (Hf2Ga3Os)? -7.117 eV per atom


Which of these has the lowest calculated total energy? Hf2Ga3Os


Which formula does entry 2 have? MgHPt2


Copy entry 3 word for word.
VASP calculation (PBE-GGA) on a relaxed structure of PmYGaRh.

Computed properties:
Calculated total energy ... -6.094 eV per atom
Space group ... Amm2
Crystal system ... orthorhombic
Formation enthalpy at 0 K ... -0.70 eV per atom

The structure in POSCAR format:
```
PmYGaRh
1.0
4.2506 0.0000 0.0000
0.0000 2.0913 5.2964
0.0000 -2.0913 5.2964
Pm Y Ga Rh
1 1 1 1
Cartesian
0.0000 0.0000 0.0000 Pm
2.1253 0.0000 3.0023 Y
2.1253 0.0000 6.1299 Ga
0.0000 0.0000 7.6789 Rh
```